1.
Ac4Ge2AsCl: relaxed, PBE-GGA.

Spin magnetization (μB/atom): 0.00
E_tot (eV per atom): -5.21
Theoretical density (g cm⁻³): 7.3
DOS(E_F) (states/eV per atom): 0.211
Uncorrected formation energy (eV/atom): -1.19

a = 6.4103 Å, b = 6.4103 Å, c = 7.8565 Å
α = 114.07°, β = 114.07°, γ = 90.01°
With the nearest neighbours (Å) after each atom.
Sites, in units of the cell vectors:
Ac (0.9374, 0.4372, 0.0000)  2 Cl 3.20-3.21, 2 As 3.20-3.21, 2 Ge 3.21
As (0.9372, 0.9372, 0.0000)  6 Ac 3.12-3.21
Cl (0.4372, 0.4372, 0.0000)  6 Ac 3.20-3.30
Ac (0.4372, 0.9374, 0.0000)  2 Cl 3.20-3.21, 2 As 3.20-3.21, 2 Ge 3.21
Ac (0.1800, 0.1800, 0.4859)  1 As 3.12, 4 Ge 3.21, 1 Cl 3.30
Ac (0.6942, 0.6942, 0.5141)  1 As 3.12, 4 Ge 3.21, 1 Cl 3.30
Ge (0.6870, 0.1870, 0.5000)  6 Ac 3.21
Ge (0.1870, 0.6870, 0.5000)  6 Ac 3.21

---

2.
Ac6Ge2AsCl3: relaxed, PBE-GGA.

Spin magnetization (μB/atom): 0.00
E_tot (eV per atom): -5.02
Theoretical density (g cm⁻³): 7.3
DOS(E_F) (states/eV per atom): 0.565
Uncorrected formation energy (eV/atom): -1.34

a = 4.5720 Å, b = 8.8380 Å, c = 9.9587 Å
α = 100.14°, β = 103.27°, γ = 90.00°
With the nearest neighbours (Å) after each atom.
Sites, in units of the cell vectors:
Ac (0.9965, 0.7574, 0.9929)  1 Ge 3.10, 2 As 3.13, 3 Cl 3.23-3.28
Cl (0.1684, 0.8356, 0.3368)  6 Ac 3.21-3.28
Ge (0.8345, 0.6679, 0.6690)  6 Ac 3.10-3.14
Ac (0.3295, 0.4252, 0.6590)  3 Ge 3.12-3.14, 3 Cl 3.25
Ac (0.0035, 0.2426, 0.0071)  1 Ge 3.10, 2 As 3.13, 3 Cl 3.23-3.28
Ac (0.6705, 0.5748, 0.3410)  3 Ge 3.12-3.14, 3 Cl 3.25
Cl (0.8316, 0.1644, 0.6632)  6 Ac 3.21-3.28
Cl (0.5000, 0.5000, 0.0000)  6 Ac 3.23-3.25
Ac (0.3365, 0.9074, 0.6731)  2 Ge 3.11, 1 As 3.13, 3 Cl 3.21-3.24
Ge (0.1655, 0.3321, 0.3310)  6 Ac 3.10-3.14
Ac (0.6635, 0.0926, 0.3269)  2 Ge 3.11, 1 As 3.13, 3 Cl 3.21-3.24
As (0.5000, 0.0000, 0.0000)  6 Ac 3.13

---

3.
AcInAsCl: relaxed, PBE-GGA.

Spin magnetization (μB/atom): 0.00
E_tot (eV per atom): -4.37
Theoretical density (g cm⁻³): 6.9
DOS(E_F) (states/eV per atom): 0.089
Uncorrected formation energy (eV/atom): -1.04

a = 5.3658 Å, b = 5.3658 Å, c = 5.3658 Å
α = 60.00°, β = 60.00°, γ = 60.00°
With the nearest neighbours (Å) after each atom.
Sites, in units of the cell vectors:
As (0.7500, 0.7500, 0.7500)  4 Ac 3.29, 4 In 3.29
Ac (0.5000, 0.5000, 0.5000)  4 Cl 3.29, 4 As 3.29
In (0.0000, 0.0000, 0.0000)  4 As 3.29, 4 Cl 3.29
Cl (0.2500, 0.2500, 0.2500)  4 Ac 3.29, 4 In 3.29

---

4.
Ac8AsIr3Cl4: relaxed, PBE-GGA.

Spin magnetization (μB/atom): 0.00
E_tot (eV per atom): -5.77
Theoretical density (g cm⁻³): 8.1
DOS(E_F) (states/eV per atom): 0.499
Uncorrected formation energy (eV/atom): -1.30

a = 8.8710 Å, b = 9.3453 Å, c = 8.8702 Å
α = 118.36°, β = 120.00°, γ = 90.00°
With the nearest neighbours (Å) after each atom.
Sites, in units of the cell vectors:
Ir (0.5000, 0.5000, 0.5000)  6 Ac 2.97-3.01
Ac (0.2432, 0.7058, 0.4865)  2 Ir 2.97, 1 As 3.13
As (0.0000, 0.5000, 0.0000)  6 Ac 3.13
Cl (0.0000, 0.0000, 0.5000)  6 Ac 3.46-3.49
Ac (0.2804, 0.2942, 0.0371)  2 Ir 2.97, 1 As 3.13
Ir (0.0000, 0.5000, 0.5000)  6 Ac 2.97-3.01
Cl (0.0000, 0.0000, 0.0000)  6 Ac 3.45-3.49
Ac (0.7568, 0.2942, 0.0371)  2 Ir 2.97, 1 As 3.13
Ac (0.2655, 0.2968, 0.5310)  3 Ir 3.01
Cl (0.5000, 0.0000, 0.0000)  6 Ac 3.35
Ac (0.2432, 0.7058, 0.9629)  2 Ir 2.97, 1 As 3.13
Ir (0.5000, 0.5000, 0.0000)  6 Ac 2.97-3.01
Ac (0.7196, 0.7058, 0.9629)  2 Ir 2.97, 1 As 3.13
Cl (0.5000, 0.0000, 0.5000)  6 Ac 3.46-3.49
Ac (0.7345, 0.7032, 0.4690)  3 Ir 3.01
Ac (0.7568, 0.2942, 0.5135)  2 Ir 2.97, 1 As 3.13

---

5.
Ac6AsIr2Cl2: relaxed, PBE-GGA.

Spin magnetization (μB/atom): 0.00
E_tot (eV per atom): -5.75
Theoretical density (g cm⁻³): 8.2
DOS(E_F) (states/eV per atom): 0.725
Uncorrected formation energy (eV/atom): -1.14

a = 7.7227 Å, b = 7.7227 Å, c = 7.7027 Å
α = 99.44°, β = 99.44°, γ = 118.39°
With the nearest neighbours (Å) after each atom.
Sites, in units of the cell vectors:
Ir (0.3304, 0.6696, 0.5000)  6 Ac 2.99-3.01
Ac (0.4209, 0.0741, 0.7203)  2 Ir 2.99-3.01, 1 As 3.14, 1 Cl 3.33
Ac (0.0741, 0.4209, 0.7203)  2 Ir 2.99-3.01, 1 As 3.14, 1 Cl 3.33
Ac (0.2874, 0.2874, 0.2799)  2 Ir 2.99, 1 As 3.24, 2 Cl 3.30
Ac (0.7126, 0.7126, 0.7200)  2 Ir 2.99, 1 As 3.24, 2 Cl 3.30
Ac (0.9259, 0.5791, 0.2797)  2 Ir 2.99-3.01, 1 As 3.14, 1 Cl 3.33
As (0.0000, 0.0000, 0.5000)  6 Ac 3.14-3.24
Ac (0.5791, 0.9259, 0.2797)  2 Ir 2.99-3.01, 1 As 3.14, 1 Cl 3.33
Cl (0.1548, 0.8452, 0.0000)  6 Ac 3.30-3.35
Cl (0.8452, 0.1548, 0.0000)  6 Ac 3.30-3.35
Ir (0.6696, 0.3304, 0.5000)  6 Ac 2.99-3.01

---

6.
AcLaAsCl: relaxed, PBE-GGA.

Spin magnetization (μB/atom): 0.00
E_tot (eV per atom): -5.28
Offset from the most stable computed form (eV/f.u.): 0.00
Theoretical density (g cm⁻³): 7.4
DOS(E_F) (states/eV per atom): 0.798
Uncorrected formation energy (eV/atom): -1.39

a = 5.3168 Å, b = 5.3168 Å, c = 5.3168 Å
α = 60.00°, β = 60.00°, γ = 60.00°
With the nearest neighbours (Å) after each atom.
Sites, in units of the cell vectors:
Cl (0.5000, 0.5000, 0.5000)  4 Ac 3.26, 4 La 3.26
Ac (0.2500, 0.2500, 0.2500)  4 Cl 3.26, 4 As 3.26
As (0.0000, 0.0000, 0.0000)  4 La 3.26, 4 Ac 3.26
La (0.7500, 0.7500, 0.7500)  4 As 3.26, 4 Cl 3.26

---

7.
AcLaAsCl: relaxed, PBE-GGA.

Spin magnetization (μB/atom): 0.00
E_tot (eV per atom): -5.19
Offset from the most stable computed form (eV/f.u.): 0.36
Theoretical density (g cm⁻³): 5.7
DOS(E_F) (states/eV per atom): 0.687
Uncorrected formation energy (eV/atom): -1.30

a = 4.5222 Å, b = 5.4643 Å, c = 6.1526 Å
α = 90.00°, β = 90.00°, γ = 114.44°
With the nearest neighbours (Å) after each atom.
Sites, in units of the cell vectors:
Ac (0.1458, 0.2915, 0.5000)  3 Cl 2.90-3.07, 2 As 3.08
La (0.8546, 0.7091, 0.0000)  3 As 2.99-3.02, 2 Cl 3.08
Cl (0.8541, 0.7082, 0.5000)  3 Ac 2.90-3.07, 2 La 3.08
As (0.1579, 0.3159, 0.0000)  3 La 2.99-3.02, 2 Ac 3.08

---

8.
NaAcAsCl: relaxed, PBE-GGA.

Spin magnetization (μB/atom): 0.00
E_tot (eV per atom): -4.35
Theoretical density (g cm⁻³): 5.8
DOS(E_F) (states/eV per atom): 0.000
Uncorrected formation energy (eV/atom): -1.37

a = 5.2592 Å, b = 5.2592 Å, c = 5.2592 Å
α = 60.00°, β = 60.00°, γ = 60.00°
With the nearest neighbours (Å) after each atom.
Sites, in units of the cell vectors:
As (0.7500, 0.7500, 0.7500)  4 Ac 3.22, 4 Na 3.22
Cl (0.2500, 0.2500, 0.2500)  4 Ac 3.22, 4 Na 3.22
Na (0.5000, 0.5000, 0.5000)  4 As 3.22, 4 Cl 3.22
Ac (0.0000, 0.0000, 0.0000)  4 Cl 3.22, 4 As 3.22

---

9.
Ac2As2ClO6: relaxed, PBE-GGA.

Spin magnetization (μB/atom): 0.08
E_tot (eV per atom): -6.64
Theoretical density (g cm⁻³): 5.0
DOS(E_F) (states/eV per atom): 0.230
Uncorrected formation energy (eV/atom): -2.18

a = 5.7422 Å, b = 7.0125 Å, c = 7.1631 Å
α = 114.75°, β = 104.83°, γ = 71.66°
With the nearest neighbours (Å) after each atom.
Sites, in units of the cell vectors:
Ac (0.3080, 0.5900, 0.2447)  5 O 2.44-2.64
O (0.5648, 0.2755, 0.9936)  1 As 1.77
Cl (0.5000, 0.0000, 0.5000)  2 Ac 3.06, 2 O 3.23
As (0.1545, 0.7793, 0.8426)  3 O 1.77-1.78
Ac (0.6920, 0.4100, 0.7553)  5 O 2.44-2.64
O (0.0007, 0.6268, 0.8924)  1 As 1.77
O (0.2706, 0.6188, 0.6020)  1 As 1.78
O (0.7294, 0.3812, 0.3980)  1 As 1.78
O (0.9993, 0.3732, 0.1076)  1 As 1.77
O (0.4352, 0.7245, 0.0064)  1 As 1.77
As (0.8455, 0.2207, 0.1574)  3 O 1.77-1.78

---

10.
Ac3AsCl2O6: relaxed, PBE-GGA.

Spin magnetization (μB/atom): 0.00
E_tot (eV per atom): -6.31
Theoretical density (g cm⁻³): 6.5
DOS(E_F) (states/eV per atom): 0.191
Uncorrected formation energy (eV/atom): -2.11

a = 5.6871 Å, b = 6.8032 Å, c = 6.9927 Å
α = 119.11°, β = 84.67°, γ = 90.00°
With the nearest neighbours (Å) after each atom.
Sites, in units of the cell vectors:
Cl (0.9121, 0.2751, 0.5501)  1 O 2.78, 3 Ac 2.85-2.94
O (0.3096, 0.7195, 0.8847)  1 As 2.03
O (0.6668, 0.8634, 0.7267)  1 As 1.83
As (0.5000, 0.0000, 0.0000)  6 O 1.83-2.03
O (0.6904, 0.2805, 0.1153)  1 As 2.03
O (0.6904, 0.8348, 0.1153)  1 As 2.03
Ac (0.5000, 0.0000, 0.5000)  4 O 2.45-2.49
Ac (0.0000, 0.5000, 0.0000)  4 O 2.62, 2 Cl 2.85
Ac (0.5000, 0.5000, 0.5000)  4 O 2.45-2.49
O (0.3332, 0.1366, 0.2733)  1 As 1.83
Cl (0.0879, 0.7249, 0.4499)  1 O 2.78, 3 Ac 2.85-2.94
O (0.3096, 0.1652, 0.8847)  1 As 2.03

---

11.
Ac4AsOsCl2: relaxed, PBE-GGA.

Spin magnetization (μB/atom): 0.00
E_tot (eV per atom): -5.67
Theoretical density (g cm⁻³): 7.9
DOS(E_F) (states/eV per atom): 0.634
Uncorrected formation energy (eV/atom): -1.17

a = 4.3613 Å, b = 7.9665 Å, c = 7.8926 Å
α = 106.59°, β = 90.00°, γ = 90.00°
With the nearest neighbours (Å) after each atom.
Sites, in units of the cell vectors:
Ac (0.0000, 0.2831, 0.7893)  2 Os 2.98, 1 As 3.16, 1 Cl 3.23
As (0.0000, 0.0000, 0.0000)  6 Ac 3.14-3.16
Os (0.5000, 0.5000, 0.0000)  6 Ac 2.91-2.98
Cl (0.0000, 0.5000, 0.5000)  6 Ac 3.23-3.33
Ac (0.5000, 0.2573, 0.2144)  1 Os 2.91, 2 As 3.14
Cl (0.5000, 0.0000, 0.5000)  6 Ac 3.45-3.48
Ac (0.5000, 0.7427, 0.7856)  1 Os 2.91, 2 As 3.14
Ac (0.0000, 0.7169, 0.2107)  2 Os 2.98, 1 As 3.16, 1 Cl 3.23

---

12.
Ac6AsP2Cl3: relaxed, PBE-GGA.

Spin magnetization (μB/atom): 0.00
E_tot (eV per atom): -5.36
Theoretical density (g cm⁻³): 7.3
DOS(E_F) (states/eV per atom): 0.437
Uncorrected formation energy (eV/atom): -1.55

a = 4.4483 Å, b = 8.8036 Å, c = 9.8516 Å
α = 101.95°, β = 103.05°, γ = 90.00°
With the nearest neighbours (Å) after each atom.
Sites, in units of the cell vectors:
Ac (0.0080, 0.2442, 0.0159)  1 P 3.00, 2 As 3.07, 3 Cl 3.19-3.23
Ac (0.3277, 0.4320, 0.6553)  3 P 3.00-3.02, 3 Cl 3.23-3.24
As (0.5000, 0.0000, 0.0000)  6 Ac 3.07-3.10
Ac (0.3353, 0.8984, 0.6707)  2 P 3.01, 1 As 3.10, 3 Cl 3.21-3.26
Ac (0.6647, 0.1016, 0.3293)  2 P 3.01, 1 As 3.10, 3 Cl 3.21-3.26
Cl (0.5000, 0.5000, 0.0000)  6 Ac 3.19-3.23
Ac (0.9920, 0.7558, 0.9841)  1 P 3.00, 2 As 3.07, 3 Cl 3.19-3.23
Ac (0.6723, 0.5680, 0.3447)  3 P 3.00-3.02, 3 Cl 3.23-3.24
P (0.8320, 0.6660, 0.6640)  6 Ac 3.00-3.02
P (0.1680, 0.3340, 0.3360)  6 Ac 3.00-3.02
Cl (0.1643, 0.8311, 0.3285)  6 Ac 3.21-3.26
Cl (0.8357, 0.1689, 0.6715)  6 Ac 3.21-3.26

---

13.
Ac6As3P2Cl: relaxed, PBE-GGA.

Spin magnetization (μB/atom): 0.00
E_tot (eV per atom): -5.81
Theoretical density (g cm⁻³): 7.3
DOS(E_F) (states/eV per atom): 0.322
Uncorrected formation energy (eV/atom): -1.54

a = 4.4867 Å, b = 8.9730 Å, c = 10.0075 Å
α = 102.57°, β = 102.95°, γ = 90.00°
With the nearest neighbours (Å) after each atom.
Sites, in units of the cell vectors:
Ac (0.3310, 0.4205, 0.6621)  3 P 3.16, 3 As 3.21-3.23
P (0.1650, 0.3297, 0.3300)  6 Ac 3.09-3.16
As (0.8366, 0.1646, 0.6732)  6 Ac 3.13-3.23
Ac (0.3279, 0.9076, 0.6558)  2 P 3.12, 3 As 3.13-3.19, 1 Cl 3.27
Ac (0.0025, 0.2651, 0.0050)  3 As 3.09-3.16, 1 P 3.09, 2 Cl 3.26
As (0.5000, 0.5000, 0.0000)  6 Ac 3.09-3.21
P (0.8350, 0.6703, 0.6700)  6 Ac 3.09-3.16
As (0.1634, 0.8354, 0.3268)  6 Ac 3.13-3.23
Ac (0.6721, 0.0924, 0.3442)  2 P 3.12, 3 As 3.13-3.19, 1 Cl 3.27
Cl (0.5000, 0.0000, 0.0000)  6 Ac 3.26-3.27
Ac (0.6690, 0.5795, 0.3379)  3 P 3.16, 3 As 3.21-3.23
Ac (0.9975, 0.7349, 0.9950)  3 As 3.09-3.16, 1 P 3.09, 2 Cl 3.26